[1]
VASP calculation (PBE-GGA) on a geometry-optimized LiAlCo2 structure.

The value obtained for the total magnetization is 0.583 μB/atom. The calculated density is 5415 kg/m³. The formation energy is -0.09 eV/atom.

```
data_LiAlCo2
_symmetry_space_group_name_H-M 'I m m m'
_symmetry_Int_Tables_number 71
_symmetry_space_group_name_Hall '-I 2 2'
_cell_length_a 3.039
_cell_length_b 3.976
_cell_length_c 7.704
_cell_angle_alpha 90.00
_cell_angle_beta 90.00
_cell_angle_gamma 90.00
loop_
_atom_site_label
_atom_site_type_symbol
_atom_site_fract_x
_atom_site_fract_y
_atom_site_fract_z
_atom_site_occupancy
Li1 Li 0.000 0.000 0.000 1
Al1 Al 0.000 0.000 0.500 1
Co1 Co 0.000 0.500 0.251 1
```

[2]
VASP calculation (PBE-GGA) on a geometry-optimized LaSc2Se structure.

The value obtained for the total magnetization is 0.000 μB/atom. The calculated density is 5315 kg/m³. The value obtained for the uncorrected formation energy is -2.445 eV/f.u.

```
data_LaSc2Se
_symmetry_space_group_name_H-M 'P 4/m m m'
_symmetry_Int_Tables_number 123
_symmetry_space_group_name_Hall '-P 4 2'
_cell_length_a 3.519
_cell_length_b 3.519
_cell_length_c 7.767
_cell_angle_alpha 90.00
_cell_angle_beta 90.00
_cell_angle_gamma 90.00
loop_
_atom_site_label
_atom_site_type_symbol
_atom_site_fract_x
_atom_site_fract_y
_atom_site_fract_z
_atom_site_occupancy
La1 La 0.000 0.000 0.000 1
Sc1 Sc 0.500 0.500 0.301 1
Se1 Se 0.000 0.000 0.500 1
```

[3]
VASP calculation (PBE-GGA) on a geometry-optimized Pm3NpSe6 structure.

The value obtained for the total magnetization is 0.400 μB/atom. As for the energy above the most stable polymorph in this dataset: 0.000 eV/atom. The calculated density is 6729 kg/m³. The value obtained for the uncorrected formation energy is -16.734 eV/f.u.

```
data_Pm3NpSe6
_symmetry_space_group_name_H-M 'P 1 21/m 1'
_symmetry_Int_Tables_number 11
_symmetry_space_group_name_Hall '-P 2yb'
_cell_length_a 11.801
_cell_length_b 4.195
_cell_length_c 12.060
_cell_angle_alpha 90.00
_cell_angle_beta 108.70
_cell_angle_gamma 90.00
loop_
_atom_site_label
_atom_site_type_symbol
_atom_site_fract_x
_atom_site_fract_y
_atom_site_fract_z
_atom_site_occupancy
Pm1 Pm 0.073 0.250 0.168 1
Pm2 Pm 0.181 0.750 0.503 1
Pm3 Pm 0.342 0.250 0.920 1
Np1 Np 0.456 0.250 0.311 1
Se1 Se 0.019 0.250 0.384 1
Se2 Se 0.101 0.250 0.933 1
Se3 Se 0.252 0.750 0.279 1
Se4 Se 0.312 0.750 0.750 1
Se5 Se 0.390 0.250 0.539 1
Se6 Se 0.417 0.750 0.104 1
```

- The lowest total magnetization belongs to which entry?
  LaSc2Se